No. 1
InBi3Se6 | meta-GGA SCAN | PBEsol geometry

Its uncorrected formation energy is -0.383 eV per atom.

abc: 19.059 19.059 19.059
angles: 12.31 12.31 12.31
Sites, in units of the cell vectors:
In1 0.000 0.000 0.000
Bi1 0.399 0.399 0.399
Bi2 0.500 0.500 0.500
Bi3 0.901 0.901 0.901
Se1 0.093 0.093 0.093
Se2 0.201 0.201 0.201
Se3 0.311 0.311 0.311
Se4 0.596 0.596 0.596
Se5 0.698 0.698 0.698
Se6 0.805 0.805 0.805

---

No. 2
InBi2Se2 | meta-GGA SCAN | PBEsol geometry

Its uncorrected formation energy is 0.061 eV per atom.

abc: 8.407 8.407 3.742
angles: 90.00 90.00 90.00
Sites, in units of the cell vectors:
In1 0.000 0.000 0.000
In2 0.500 0.500 0.000
Bi1 0.167 0.333 0.500
Bi2 0.333 0.833 0.500
Bi3 0.667 0.167 0.500
Bi4 0.833 0.667 0.500
Se1 0.147 0.647 0.000
Se2 0.353 0.147 0.000
Se3 0.647 0.853 0.000
Se4 0.853 0.353 0.000

---

No. 3
InSi2Bi2 | meta-GGA SCAN | PBEsol geometry

Its uncorrected formation energy is 0.356 eV per atom.

abc: 10.336 10.336 10.336
angles: 160.69 160.69 27.44
Sites, in units of the cell vectors:
In1 0.000 0.000 0.000
Si1 0.250 0.750 0.500
Si2 0.750 0.250 0.500
Bi1 0.382 0.382 0.000
Bi2 0.618 0.618 0.000